Entry 1:
Compound: LiNbAu
Source: Alexandria via LeMat-Bulk
Functional: GGA-PBE
Structure: optimized geometry

The value obtained for the theoretical density is 9621 kg/m³. The calculation puts the energy relative to the elements at -22.6 kJ per mole of atoms. The polymorph energy (0 for the lowest one) is 0 meV per atom. The density of states at the Fermi level comes out at 1.9 states/eV/cell.

The structure belongs to space group P4/nmm (No. 129, origin choice 2); the cell edges are 2.862, 2.862 and 12.508 Å and the angles 90.00°, 90.00° and 90.00°. Symmetry generates all atoms from Li at (0.250, 0.250, 0.091), Nb at (0.250, 0.250, 0.409) and Au at (0.250, 0.250, 0.765).

=====

Entry 2:
Compound: LiNbPAu2
Source: Alexandria via LeMat-Bulk
Functional: GGA-PBE
Structure: optimized geometry

The value obtained for the theoretical density is 9057 kg/m³. The calculation puts the energy relative to the elements at 46.8 kJ per mole of atoms. The density of states at the Fermi level comes out at 4.8 states/eV/cell.

The structure belongs to space group P4/mmm (No. 123); the cell edges are 4.734, 4.734 and 4.293 Å and the angles 90.00°, 90.00° and 90.00°. Symmetry generates all atoms from Li at (0.000, 0.000, 0.000), Nb at (0.500, 0.500, 0.000), P at (0.000, 0.000, 0.500) and Au at (0.000, 0.500, 0.500).

=====

Entry 3:
Compound: LiNbPbAu2
Source: Alexandria via LeMat-Bulk
Functional: GGA-PBE
Structure: optimized geometry

The value obtained for the theoretical density is 7449 kg/m³. The calculation puts the energy relative to the elements at 100.0 kJ per mole of atoms. The density of states at the Fermi level comes out at 3.9 states/eV/cell.

The structure belongs to space group P4/mmm (No. 123); the cell edges are 5.335, 5.335 and 5.490 Å and the angles 90.00°, 90.00° and 90.00°. Symmetry generates all atoms from Li at (0.000, 0.000, 0.000), Nb at (0.500, 0.500, 0.000), Pb at (0.500, 0.500, 0.500) and Au at (0.000, 0.500, 0.500).

=====

Entry 4:
Compound: LiNb2RhAu
Source: Alexandria via LeMat-Bulk
Functional: GGA-PBE
Structure: optimized geometry

The value obtained for the theoretical density is 6994 kg/m³. The calculation puts the energy relative to the elements at 81.1 kJ per mole of atoms. The density of states at the Fermi level comes out at 4.9 states/eV/cell.

The structure belongs to space group P4/mmm (No. 123); the cell edges are 4.762, 4.762 and 5.157 Å and the angles 90.00°, 90.00° and 90.00°. Symmetry generates all atoms from Li at (0.000, 0.000, 0.000), Nb at (0.000, 0.500, 0.500), Rh at (0.500, 0.500, 0.500) and Au at (0.500, 0.500, 0.000).